VASP calculation (PBE-GGA) on CdB6 after structural relaxation.

a b c (Å): 4.145 4.145 4.145
angles (deg): 90.00 90.00 90.00
Element x y z (fractional)
B  0.500  0.799  0.500
B  0.500  0.201  0.500
B  0.201  0.500  0.500
B  0.799  0.500  0.500
B  0.500  0.500  0.799
B  0.500  0.500  0.201
Cd  0.000  0.000  0.000

Theoretical density in g/cm3: 4.13
Electronic total energy in Ry/atom: -0.412